This record from OQMD describes a relaxed K2TcHg2 crystal. The functional is PBE.

Total magnetization ... 2.7 μB/f.u.
Total DFT energy (no corrections) ... -2.18 eV per atom

The structure in extended XYZ format:
```
10
Lattice="-3.886 7.432 3.187 3.886 -7.432 3.187 3.886 7.432 -3.187" Properties=species:S:1:pos:R:3 pbc="T T T"
Tc 0.000 0.000 1.594
Hg 6.186 1.643 0.000
K 2.491 2.188 0.000
K 2.491 -2.188 3.187
K 1.395 9.620 0.000
Hg 2.300 5.789 0.000
K 1.395 5.244 3.187
Hg -2.300 5.789 3.187
Hg 1.586 1.643 3.187
Tc 0.000 0.000 4.781
```

---

This record from OQMD describes a relaxed SmInSnTe3 crystal. The functional is PBE.

Total magnetization ... 0.0 μB/f.u.
ΔE to the lowest computed polymorph ... 0.021 eV per atom
Total DFT energy (no corrections) ... -4.03 eV per atom

The structure in extended XYZ format:
```
12
Lattice="2.248 -7.482 0.000 2.248 7.482 0.000 0.000 0.000 11.037" Properties=species:S:1:pos:R:3 pbc="T T T"
Sn 2.248 -4.120 8.278
In 2.248 0.348 8.278
Te 2.248 2.244 10.606
Te 2.248 2.244 5.950
Te 2.248 5.728 8.278
Te 2.248 -2.244 0.431
Sm 0.000 0.000 0.000
Te 2.248 -5.728 2.759
Sm 0.000 0.000 5.519
In 2.248 -0.348 2.759
Te 2.248 -2.244 5.088
Sn 2.248 4.120 2.759
```

---

This record from OQMD describes a relaxed La3HgO crystal. The functional is PBE.

Total magnetization ... 0.0 μB/f.u.
Total DFT energy (no corrections) ... -5.37 eV per atom

The structure in extended XYZ format:
```
5
Lattice="-3.164 3.319 2.111 1.403 -1.579 4.586 3.675 3.461 0.067" Properties=species:S:1:pos:R:3 pbc="T T T"
O 0.957 2.601 3.382
La -0.881 0.870 3.348
Hg 0.000 0.000 0.000
La 0.255 3.390 1.089
La 2.539 0.941 2.326
```

---

This record from OQMD describes a relaxed BaZn crystal. The functional is PBE.

Total DFT energy (no corrections) ... -1.69 eV per atom

The structure in extended XYZ format:
```
12
Lattice="6.950 -0.001 0.000 -0.002 12.556 0.000 0.000 0.000 4.848" Properties=species:S:1:pos:R:3 pbc="T T T"
Zn 2.863 6.689 0.000
Ba 0.038 2.398 2.424
Ba 6.814 11.331 0.000
Zn 1.836 5.245 2.424
Ba 5.253 6.031 2.424
Zn 6.336 7.958 0.000
Zn 0.564 5.357 0.000
Ba 3.512 12.250 2.424
Zn 5.311 9.403 2.424
Zn 4.039 9.293 0.000
Ba 3.339 3.317 0.000
Ba 1.778 8.615 2.424
```

---

This record from OQMD describes a relaxed Gd2Mg crystal. The functional is PBE.

Total magnetization ... 0.2 μB/f.u.
ΔE to the lowest computed polymorph ... 0.000 eV per atom
Total DFT energy (no corrections) ... -3.55 eV per atom

The structure in extended XYZ format:
```
6
Lattice="3.461 0.000 0.000 -1.730 2.997 0.000 0.000 0.000 16.642" Properties=species:S:1:pos:R:3 pbc="T T T"
Gd 1.730 0.999 8.344
Gd 0.000 0.000 16.619
Gd 1.730 0.999 2.775
Mg 1.730 0.999 13.865
Mg 0.000 0.000 11.099
Gd 0.000 0.000 5.546
```

---

This record from OQMD describes a relaxed SrCdO2 crystal. The functional is PBE.

Total DFT energy (no corrections) ... -4.97 eV per atom

The structure in extended XYZ format:
```
8
Lattice="-4.080 2.632 -1.069 -2.806 -3.428 2.268 0.459 2.437 4.250" Properties=species:S:1:pos:R:3 pbc="T T T"
Sr -1.380 1.625 3.490
O -5.040 0.024 1.955
Cd -3.008 -1.302 2.495
O -1.616 0.399 1.370
O -2.785 -0.091 4.626
Sr -4.817 1.234 4.085
O -3.412 2.951 2.950
Cd -3.648 1.724 0.829
```

---

This record from OQMD describes a relaxed KLuAgSe3 crystal. The functional is PBE.

Total magnetization ... 0.1 μB/f.u.
Total DFT energy (no corrections) ... -4.25 eV per atom

The structure in extended XYZ format:
```
12
Lattice="2.019 -7.610 0.000 2.019 7.610 0.000 0.000 0.000 10.616" Properties=species:S:1:pos:R:3 pbc="T T T"
Se 2.019 1.162 2.654
Se 2.019 -5.669 5.777
Ag 2.019 7.069 2.654
Se 2.019 5.669 4.839
K 2.019 3.751 7.962
Ag 2.019 -7.069 7.962
Lu 2.019 0.000 0.000
Se 2.019 -1.162 7.962
K 2.019 -3.751 2.654
Se 2.019 5.669 0.469
Se 2.019 -5.669 10.147
Lu 2.019 0.000 5.308
```

---

This record from OQMD describes a relaxed HoCoGe crystal. The functional is PBE.

Total magnetization ... 0.0 μB/f.u.
Total DFT energy (no corrections) ... -6.11 eV per atom

The structure in extended XYZ format:
```
12
Lattice="-6.761 -0.962 -0.674 0.068 -2.731 3.222 -1.221 5.374 4.580" Properties=species:S:1:pos:R:3 pbc="T T T"
Ho -0.388 -0.433 3.795
Co -6.804 2.148 6.117
Ho -7.527 2.114 3.334
Co -1.110 -0.467 1.012
Ho -3.641 -1.477 2.978
Ge -2.482 1.175 2.432
Co -2.979 0.670 4.784
Ge -5.499 -0.907 0.731
Ge -5.433 0.506 4.696
Ge -2.416 2.588 6.398
Co -4.936 1.010 2.344
Ho -4.274 3.158 4.151
```

---

This record from OQMD describes a relaxed HoSiMo crystal. The functional is PBE.

Total magnetization ... 3.1 μB/f.u.
Total DFT energy (no corrections) ... -5.83 eV per atom

The structure in extended XYZ format:
```
3
Lattice="0.000 3.308 3.308 3.308 0.000 3.308 3.308 3.308 0.000" Properties=species:S:1:pos:R:3 pbc="T T T"
Si 4.962 4.962 4.962
Ho 0.000 0.000 0.000
Mo 1.654 1.654 1.654
```

---

This record from OQMD describes a relaxed ErN2 crystal. The functional is PBE.

Total magnetization ... 0.0 μB/f.u.
Total DFT energy (no corrections) ... -5.91 eV per atom

The structure in extended XYZ format:
```
6
Lattice="0.000 3.182 3.182 3.182 0.000 3.182 3.182 3.182 0.000" Properties=species:S:1:pos:R:3 pbc="T T T"
N 2.386 3.977 2.386
Er 0.000 0.000 0.000
N 3.977 2.386 2.386
N 3.977 3.977 3.977
Er 1.591 1.591 1.591
N 2.386 2.386 3.977
```

---

This record from OQMD describes a relaxed TlMo3I crystal. The functional is PBE.

Total magnetization ... 0.0 μB/f.u.
Total DFT energy (no corrections) ... -5.29 eV per atom

The structure in extended XYZ format:
```
5
Lattice="4.892 0.000 0.000 0.000 4.892 0.000 0.000 0.000 4.892" Properties=species:S:1:pos:R:3 pbc="T T T"
Tl 0.000 0.000 0.000
Mo 0.000 2.446 2.446
I 2.446 2.446 2.446
Mo 2.446 0.000 2.446
Mo 2.446 2.446 0.000
```

---

This record from OQMD describes a relaxed Sc2CdN crystal. The functional is PBE.

Total magnetization ... 0.2 μB/f.u.
Total DFT energy (no corrections) ... -6.53 eV per atom

The structure in extended XYZ format:
```
24
Lattice="-1.159 4.267 3.437 1.006 -0.475 5.488 13.943 4.162 -5.094" Properties=species:S:1:pos:R:3 pbc="T T T"
Sc 5.988 2.192 0.022
Sc 1.239 1.625 3.723
Cd 3.257 2.703 1.536
Sc 7.849 4.496 0.834
Cd 10.589 3.994 -0.669
Sc 7.802 5.762 3.809
N 0.503 -0.237 2.744
N 0.453 1.026 5.720
Sc 7.903 3.233 -2.141
Sc 1.293 0.363 0.748
N 6.341 5.479 2.146
Cd 3.201 3.960 4.500
N 7.449 2.475 1.685
N -0.605 2.766 3.206
Sc 5.887 4.721 5.972
Sc 1.192 2.890 6.698
Sc 12.599 5.064 -2.867
N 6.392 4.214 -0.829
Sc 12.497 7.592 3.083
Sc 5.941 3.458 2.998
Cd 10.533 5.251 2.295
Sc 12.551 6.330 0.108
Cd 4.308 0.969 4.041
Cd 9.482 6.985 -0.209
```

---

This record from OQMD describes a relaxed BeNiAsAu crystal. The functional is PBE.

Total magnetization ... 0.0 μB/f.u.
ΔE to the lowest computed polymorph ... 0.000 eV per atom
Total DFT energy (no corrections) ... -4.11 eV per atom

The structure in extended XYZ format:
```
4
Lattice="-1.616 0.914 3.875 -2.026 3.732 0.657 -4.255 0.060 0.594" Properties=species:S:1:pos:R:3 pbc="T T T"
Be 0.000 0.000 0.000
As -1.974 1.176 1.282
Au -5.922 3.529 3.845
Ni -3.948 2.353 2.563
```

---

This record from OQMD describes a relaxed InAs2Au2 crystal. The functional is PBE.

ΔE to the lowest computed polymorph ... 0.000 eV per atom
Total DFT energy (no corrections) ... -3.73 eV per atom

The structure in extended XYZ format:
```
10
Lattice="1.732 -5.972 0.000 1.732 5.972 0.000 0.000 0.000 11.965" Properties=species:S:1:pos:R:3 pbc="T T T"
In 1.732 0.262 2.991
As 1.732 3.601 0.586
Au 1.732 -3.208 8.974
As 1.732 3.601 5.397
Au 0.000 0.000 0.000
As 1.732 -3.601 11.379
Au 1.732 3.208 2.991
In 1.732 -0.262 8.974
As 1.732 -3.601 6.568
Au 0.000 0.000 5.983
```

---

This record from OQMD describes a relaxed PrNdCu crystal. The functional is PBE.

Formation energy from the elements ... 126 meV/atom
Total magnetization ... 1.0 μB/f.u.
ΔE to the lowest computed polymorph ... 0.000 eV per atom
Total DFT energy (no corrections) ... -4.29 eV per atom

The structure in extended XYZ format:
```
3
Lattice="0.000 3.533 3.533 3.533 0.000 3.533 3.533 3.533 0.000" Properties=species:S:1:pos:R:3 pbc="T T T"
Pr 5.300 5.300 5.300
Cu 0.000 0.000 0.000
Nd 1.767 1.767 1.767
```

---

This record from OQMD describes a relaxed ErTmSi crystal. The functional is PBE.

Total magnetization ... 0.0 μB/f.u.
ΔE to the lowest computed polymorph ... 0.000 eV per atom
Total DFT energy (no corrections) ... -5.27 eV per atom

The structure in extended XYZ format:
```
3
Lattice="3.925 -0.360 2.700 1.828 3.889 2.088 -0.303 0.533 4.738" Properties=species:S:1:pos:R:3 pbc="T T T"
Er 1.363 1.016 2.381
Tm 4.088 3.047 7.144
Si 0.000 0.000 0.000
```

---

This record from OQMD describes a relaxed DyHoSi2Ni crystal. The functional is PBE.

Total magnetization ... 0.4 μB/f.u.
Total DFT energy (no corrections) ... -5.94 eV per atom

The structure in extended XYZ format:
```
10
Lattice="5.105 -2.084 0.000 5.105 2.084 0.000 -4.751 0.000 8.807" Properties=species:S:1:pos:R:3 pbc="T T T"
Ni 2.122 0.000 1.250
Ho 9.336 0.000 1.506
Si 3.399 0.000 3.341
Dy 6.416 0.000 3.468
Si -0.847 0.000 8.254
Ni 3.338 0.000 7.557
Ho -3.876 0.000 7.301
Dy -0.956 0.000 5.339
Si 6.307 0.000 0.553
Si 2.061 0.000 5.466
```

---

This record from OQMD describes a relaxed KCu3Te4W crystal. The functional is PBE.

Total magnetization ... 2.0 μB/f.u.
Total DFT energy (no corrections) ... -4.13 eV per atom

The structure in extended XYZ format:
```
9
Lattice="6.522 0.000 0.000 0.000 6.522 0.000 0.000 0.000 6.522" Properties=species:S:1:pos:R:3 pbc="T T T"
Te 4.750 4.750 1.773
Te 1.773 4.750 4.750
Cu 3.261 3.261 0.000
K 0.000 0.000 0.000
Te 4.750 1.773 4.750
Cu 0.000 3.261 3.261
Cu 3.261 0.000 3.261
Te 1.773 1.773 1.773
W 3.261 3.261 3.261
```

---

This record from OQMD describes a relaxed GdMgBe crystal. The functional is PBE.

Total magnetization ... 0.0 μB/f.u.
Total DFT energy (no corrections) ... -2.67 eV per atom

The structure in extended XYZ format:
```
3
Lattice="0.000 3.293 3.293 3.293 0.000 3.293 3.293 3.293 0.000" Properties=species:S:1:pos:R:3 pbc="T T T"
Be 1.646 1.646 1.646
Gd 4.939 4.939 4.939
Mg 0.000 0.000 0.000
```

---

This record from OQMD describes a relaxed ErZr3Si4 crystal. The functional is PBE.

Total magnetization ... 0.0 μB/f.u.
Total DFT energy (no corrections) ... -7.37 eV per atom

The structure in extended XYZ format:
```
8
Lattice="-0.496 -2.097 4.960 3.746 0.293 0.498 -0.874 6.663 2.643" Properties=species:S:1:pos:R:3 pbc="T T T"
Si -0.654 2.870 3.223
Er -0.464 -0.133 3.563
Si 1.150 1.926 4.637
Zr -1.028 2.674 6.153
Zr 1.528 2.059 1.719
Zr 0.972 4.815 4.272
Si -0.100 -0.035 0.773
Si 0.611 4.679 7.065
```